(1)
# Sc2PtCl, single point on PBEsol structure, DFT SCAN
data_Sc2PtCl
_cell_length_a 3.340
_cell_length_b 3.340
_cell_length_c 9.175
_cell_angle_alpha 79.51
_cell_angle_beta 79.51
_cell_angle_gamma 60.00
_space_group_name_H-M_alt 'P 1'
_space_group_IT_number 1
_space_group_name_Hall 'P 1'
loop_
_atom_site_label
_atom_site_fract_x
_atom_site_fract_y
_atom_site_fract_z
_atom_site_occupancy
Sc1 0.990 0.990 0.031 1
Sc2 0.760 0.760 0.720 1
Cl1 0.488 0.488 0.535 1
Pt1 0.262 0.262 0.214 1
# E above lowest polymorph in meV per atom: 396
# D(E_F) in states/eV/cell: 0.44
# SG: R3m, No. 160
# ρ in Mg/m³: 6.14
# Raw formation energy in meV/atom: -949

=====

(2)
# ScPtCl2, single point on PBEsol structure, DFT SCAN
data_ScPtCl2
_cell_length_a 4.221
_cell_length_b 4.229
_cell_length_c 4.299
_cell_angle_alpha 90.61
_cell_angle_beta 90.00
_cell_angle_gamma 90.00
_space_group_name_H-M_alt 'P 1'
_space_group_IT_number 1
_space_group_name_Hall 'P 1'
loop_
_atom_site_label
_atom_site_fract_x
_atom_site_fract_y
_atom_site_fract_z
_atom_site_occupancy
Cl1 0.000 0.740 0.759 1
Cl2 0.000 0.260 0.241 1
Sc1 0.500 0.500 0.000 1
Pt1 0.500 0.000 0.500 1
# E above lowest polymorph in meV per atom: 400
# D(E_F) in states/eV/cell: 3.42
# SG: P2/m, No. 10
# ρ in Mg/m³: 6.73
# Raw formation energy in meV/atom: -674

=====

(3)
# ScPtCl2, single point on PBEsol structure, DFT SCAN
data_ScPtCl2
_cell_length_a 3.743
_cell_length_b 3.743
_cell_length_c 5.496
_cell_angle_alpha 109.91
_cell_angle_beta 109.91
_cell_angle_gamma 90.00
_space_group_name_H-M_alt 'P 1'
_space_group_IT_number 1
_space_group_name_Hall 'P 1'
loop_
_atom_site_label
_atom_site_fract_x
_atom_site_fract_y
_atom_site_fract_z
_atom_site_occupancy
Cl1 0.000 0.000 0.000 1
Cl2 0.750 0.250 0.500 1
Pt1 0.500 0.500 0.000 1
Sc1 0.250 0.750 0.500 1
# E above lowest polymorph in meV per atom: 401
# D(E_F) in states/eV/cell: 1.59
# SG: I-4m2, No. 119
# ρ in Mg/m³: 7.65
# Raw formation energy in meV/atom: -673